[1]
This record from the Alexandria database describes crystalline K3NaCl4 at its relaxed geometry. The functional is PBE.

Output
* symmetry: Cmmm, No. 65
* energy above the most stable polymorph in this dataset: 0 meV/atom

Lattice parameters (Å, degrees): 4.386 7.619 7.619 109.42 90.00 90.00
Atoms (fractional coordinates):
Na  0.500  0.000  0.000
K  0.500  0.500  0.500
K  0.000  0.000  0.500
K  0.000  0.500  0.000
Cl  0.500  0.759  0.241
Cl  0.000  0.767  0.767
Cl  0.000  0.233  0.233
Cl  0.500  0.241  0.759



[2]
This record from the Alexandria database describes crystalline KNa4Cl5 at its relaxed geometry. The functional is PBE.

Output
* symmetry: Immm, No. 71
* energy above the most stable polymorph in this dataset: 9 meV/atom

Lattice parameters (Å, degrees): 10.977 10.977 10.977 158.59 148.77 38.18
Atoms (fractional coordinates):
Cl  0.699  0.199  0.500
Cl  0.301  0.801  0.500
Cl  0.500  0.000  0.500
Cl  0.888  0.388  0.500
Cl  0.112  0.612  0.500
K  0.000  0.000  0.000
Na  0.604  0.604  0.000
Na  0.795  0.795  0.000
Na  0.396  0.396  0.000
Na  0.205  0.205  0.000



[3]
This record from the Alexandria database describes crystalline K5NaCl6 at its relaxed geometry. The functional is PBE.

Output
* symmetry: C2/m, No. 12

Lattice parameters (Å, degrees): 7.673 7.679 7.680 60.00 80.36 70.44
Atoms (fractional coordinates):
Cl  0.758  0.399  0.682
Cl  0.758  0.081  0.318
Cl  0.242  0.919  0.682
Cl  0.242  0.601  0.318
Cl  0.762  0.764  0.000
Cl  0.238  0.236  0.000
K  0.500  0.168  0.663
K  0.500  0.500  0.000
K  0.500  0.832  0.337
K  0.000  0.667  0.666
K  0.000  0.333  0.334
Na  0.000  0.000  0.000



[4]
This record from the Alexandria database describes crystalline K2NaCl2 at its relaxed geometry. The functional is PBE.

Output
* symmetry: I4/mmm, No. 139
* energy above the most stable polymorph in this dataset: 105 meV/atom

Lattice parameters (Å, degrees): 5.810 5.810 7.993 68.69 68.69 90.00
Atoms (fractional coordinates):
K  0.683  0.683  0.634
K  0.317  0.317  0.366
Cl  0.250  0.750  0.500
Cl  0.750  0.250  0.500
Na  0.000  0.000  0.000



[5]
This record from the Alexandria database describes crystalline KNa4Cl5 at its relaxed geometry. The functional is PBE.

Output
* symmetry: C2/m, No. 12
* energy above the most stable polymorph in this dataset: 5 meV/atom

Lattice parameters (Å, degrees): 7.155 7.155 10.157 61.92 61.92 33.30
Atoms (fractional coordinates):
Cl  0.206  0.206  0.687
Cl  0.794  0.794  0.313
Cl  0.000  0.000  0.500
Cl  0.391  0.391  0.887
Cl  0.609  0.609  0.113
Na  0.402  0.402  0.403
Na  0.200  0.200  0.209
Na  0.800  0.800  0.791
Na  0.598  0.598  0.597
K  0.000  0.000  0.000



[6]
This record from the Alexandria database describes crystalline K2NaCl3 at its relaxed geometry. The functional is PBE.

Output
* symmetry: Immm, No. 71
* energy above the most stable polymorph in this dataset: 5 meV/atom

Lattice parameters (Å, degrees): 4.295 6.220 7.569 114.26 106.48 90.00
Atoms (fractional coordinates):
Na  0.500  0.500  0.500
Cl  0.150  0.650  0.800
Cl  0.850  0.350  0.200
Cl  0.500  0.000  0.500
K  0.170  0.170  0.840
K  0.830  0.830  0.160



[7]
This record from the Alexandria database describes crystalline K2NaCl2 at its relaxed geometry. The functional is PBE.

Output
* symmetry: P4/mbm, No. 127
* energy above the most stable polymorph in this dataset: 0 meV/atom

Lattice parameters (Å, degrees): 8.755 8.755 4.163 90.00 90.00 90.00
Atoms (fractional coordinates):
Na  0.000  0.000  0.000
Na  0.500  0.500  0.000
K  0.649  0.851  0.500
K  0.351  0.149  0.500
K  0.149  0.649  0.500
K  0.851  0.351  0.500
Cl  0.654  0.154  0.000
Cl  0.154  0.346  0.000
Cl  0.846  0.654  0.000
Cl  0.346  0.846  0.000



[8]
This record from the Alexandria database describes crystalline K3NaCl at its relaxed geometry. The functional is PBE.

Output
* symmetry: Pm-3m, No. 221
* energy above the most stable polymorph in this dataset: 0 meV/atom

Lattice parameters (Å, degrees): 6.324 6.324 6.324 90.00 90.00 90.00
Atoms (fractional coordinates):
K  0.000  0.000  0.500
K  0.500  0.000  0.000
K  0.000  0.500  0.000
Na  0.500  0.500  0.500
Cl  0.000  0.000  0.000



[9]
This record from the Alexandria database describes crystalline KNaCl2 at its relaxed geometry. The functional is PBE.

Output
* symmetry: Fm-3m, No. 225

Lattice parameters (Å, degrees): 5.215 5.215 5.215 60.00 60.00 60.00
Atoms (fractional coordinates):
K  0.000  0.000  0.000
Cl  0.750  0.750  0.750
Cl  0.250  0.250  0.250
Na  0.500  0.500  0.500



[10]
This record from the Alexandria database describes crystalline K2Na2Cl at its relaxed geometry. The functional is PBE.

Output
* symmetry: P4/mbm, No. 127
* energy above the most stable polymorph in this dataset: 47 meV/atom

Lattice parameters (Å, degrees): 8.294 8.294 7.252 90.00 90.00 90.00
Atoms (fractional coordinates):
Na  0.650  0.850  0.500
Na  0.150  0.650  0.500
Na  0.850  0.350  0.500
Na  0.350  0.150  0.500
Cl  0.000  0.000  0.000
Cl  0.500  0.500  0.000
K  0.687  0.187  0.000
K  0.187  0.313  0.000
K  0.313  0.813  0.000
K  0.813  0.687  0.000



[11]
This record from the Alexandria database describes crystalline K2Na2Cl at its relaxed geometry. The functional is PBE.

Output
* symmetry: I4/mmm, No. 139
* energy above the most stable polymorph in this dataset: 0 meV/atom

Lattice parameters (Å, degrees): 4.332 4.332 11.293 78.94 78.94 90.00
Atoms (fractional coordinates):
K  0.584  0.584  0.832
K  0.416  0.416  0.168
Na  0.250  0.750  0.500
Na  0.750  0.250  0.500
Cl  0.000  0.000  0.000



[12]
This record from the Alexandria database describes crystalline K3Na5Cl8 at its relaxed geometry. The functional is PBE.

Output
* symmetry: R-3m, No. 166

Lattice parameters (Å, degrees): 8.399 8.399 8.447 60.19 60.19 60.00
Atoms (fractional coordinates):
Cl  0.750  0.268  0.232
Cl  0.259  0.259  0.222
Cl  0.250  0.732  0.768
Cl  0.732  0.250  0.768
Cl  0.750  0.750  0.232
Cl  0.250  0.250  0.768
Cl  0.741  0.741  0.778
Cl  0.268  0.750  0.232
Na  0.500  0.500  0.500
Na  0.500  0.500  0.000
Na  0.500  0.000  0.000
Na  0.000  0.500  0.000
Na  0.000  0.000  0.000
K  0.000  0.500  0.500
K  0.000  0.000  0.500
K  0.500  0.000  0.500



[13]
This record from the Alexandria database describes crystalline K2NaCl3 at its relaxed geometry. The functional is PBE.

Output
* symmetry: C2/m, No. 12
* energy above the most stable polymorph in this dataset: 3 meV/atom

Lattice parameters (Å, degrees): 7.528 7.552 7.528 80.40 60.00 70.51
Atoms (fractional coordinates):
Na  0.333  0.000  0.334
Na  0.667  0.000  0.666
K  0.164  0.500  0.672
K  0.500  0.500  0.000
K  0.836  0.500  0.328
K  0.000  0.000  0.000
Cl  0.573  0.232  0.350
Cl  0.923  0.232  0.650
Cl  0.077  0.768  0.350
Cl  0.271  0.232  0.000
Cl  0.729  0.768  0.000
Cl  0.427  0.768  0.650



[14]
This record from the Alexandria database describes crystalline K4NaCl4 at its relaxed geometry. The functional is PBE.

Output
* symmetry: P4_2/nmc, No. 137

Lattice parameters (Å, degrees): 8.142 8.878 8.878 90.00 90.00 90.00
Atoms (fractional coordinates):
K  0.651  0.000  0.725
K  0.349  0.275  0.000
K  0.151  0.225  0.500
K  0.849  0.500  0.775
K  0.849  0.500  0.225
K  0.349  0.725  0.000
K  0.651  0.000  0.275
K  0.151  0.775  0.500
Cl  0.751  0.726  0.500
Cl  0.251  0.000  0.774
Cl  0.749  0.774  0.000
Cl  0.251  0.000  0.226
Cl  0.749  0.226  0.000
Cl  0.249  0.500  0.274
Cl  0.751  0.274  0.500
Cl  0.249  0.500  0.726
Na  0.000  0.000  0.000
Na  0.500  0.500  0.500



[15]
This record from the Alexandria database describes crystalline KNaCl at its relaxed geometry. The functional is PBE.

Output
* symmetry: P3m1, No. 156
* energy above the most stable polymorph in this dataset: 0 meV/atom

Lattice parameters (Å, degrees): 4.225 4.225 7.254 90.00 90.00 120.00
Atoms (fractional coordinates):
Cl  0.667  0.333  0.353
K  0.000  0.000  0.076
Na  0.333  0.667  0.572



[16]
This record from the Alexandria database describes crystalline K2Na2Cl at its relaxed geometry. The functional is PBE.

Output
* symmetry: P4/mbm, No. 127
* energy above the most stable polymorph in this dataset: 117 meV/atom

Lattice parameters (Å, degrees): 7.951 7.951 7.155 90.00 90.00 90.00
Atoms (fractional coordinates):
Cl  0.500  0.500  0.000
Cl  0.000  0.000  0.000
Na  0.667  0.167  0.000
Na  0.167  0.333  0.000
Na  0.833  0.667  0.000
Na  0.333  0.833  0.000
K  0.180  0.680  0.500
K  0.320  0.180  0.500
K  0.680  0.820  0.500
K  0.820  0.320  0.500



[17]
This record from the Alexandria database describes crystalline KNa4Cl5 at its relaxed geometry. The functional is PBE.

Output
* symmetry: R-3m, No. 166
* energy above the most stable polymorph in this dataset: 0 meV/atom

Lattice parameters (Å, degrees): 17.079 17.079 17.079 13.82 13.82 13.82
Atoms (fractional coordinates):
Cl  0.500  0.500  0.500
Cl  0.706  0.706  0.706
Cl  0.294  0.294  0.294
Cl  0.897  0.897  0.897
Cl  0.103  0.103  0.103
Na  0.198  0.198  0.198
Na  0.802  0.802  0.802
Na  0.404  0.404  0.404
Na  0.596  0.596  0.596
K  0.000  0.000  0.000



[18]
This record from the Alexandria database describes crystalline KNaCl2 at its relaxed geometry. The functional is PBE.

Output
* symmetry: I-42d, No. 122

Lattice parameters (Å, degrees): 7.517 7.517 6.955 57.29 57.29 90.00
Atoms (fractional coordinates):
Na  0.250  0.750  0.500
Na  0.500  0.500  0.000
Cl  0.875  0.836  0.750
Cl  0.375  0.414  0.750
Cl  0.586  0.125  0.250
Cl  0.164  0.625  0.250
K  0.750  0.250  0.500
K  0.000  0.000  0.000



[19]
This record from the Alexandria database describes crystalline K2NaCl3 at its relaxed geometry. The functional is PBE.

Output
* symmetry: P-3m1, No. 164
* energy above the most stable polymorph in this dataset: 0 meV/atom

Lattice parameters (Å, degrees): 4.338 4.338 10.688 90.00 90.00 120.00
Atoms (fractional coordinates):
Na  0.000  0.000  0.000
K  0.667  0.333  0.323
K  0.333  0.667  0.677
Cl  0.667  0.333  0.857
Cl  0.333  0.667  0.143
Cl  0.000  0.000  0.500



[20]
This record from the Alexandria database describes crystalline KNaCl at its relaxed geometry. The functional is PBE.

Output
* symmetry: I4mm, No. 107
* energy above the most stable polymorph in this dataset: 51 meV/atom

Lattice parameters (Å, degrees): 3.772 3.772 7.653 104.27 104.27 90.00
Atoms (fractional coordinates):
Cl  0.335  0.335  0.670
K  0.707  0.707  0.415
Na  0.958  0.958  0.915



Per-record formation energy without anion corrections, eV per atom: -1.90, -1.82, -1.92, -1.27, -1.82, -1.89, -1.38, -0.72, -1.74, -0.57, -0.62, -1.84, -1.89, -1.58, -1.15, -0.50, -1.82, -1.80, -1.89, -1.10
Per-record energy, eV/atom: -3.400, -3.377, -3.410, -2.714, -3.380, -3.394, -2.819, -2.008, -3.265, -1.909, -1.956, -3.381, -3.397, -3.037, -2.568, -1.839, -3.386, -3.331, -3.399, -2.517